Entry from Alexandria via LeMat-Bulk: a geometry-optimized TbPr2Sn2 structure (PBE-GGA). Values from VASP.

Geometry as Quantum ESPRESSO input:
```
&SYSTEM
  ibrav = 0, nat = 10, ntyp = 3
/
ATOMIC_SPECIES
Tb 158.93 Tb.upf
Pr 140.91 Pr.upf
Sn 118.71 Sn.upf
CELL_PARAMETERS angstrom
6.458 -2.407 0.000
6.458 2.407 0.000
-5.125 0.000 10.130
ATOMIC_POSITIONS crystal
Tb 0.214 0.214 0.356
Tb 0.786 0.786 0.644
Pr 0.317 0.317 0.908
Pr 0.488 0.488 0.320
Pr 0.512 0.512 0.680
Pr 0.683 0.683 0.092
Sn 0.035 0.035 0.890
Sn 0.128 0.128 0.574
Sn 0.872 0.872 0.426
Sn 0.965 0.965 0.110
```

Calculated values
Energy relative to the lowest polymorph listed for this composition = 0.0826 eV per atom
ΔE_f = -0.630 eV/atom
SG = C2/m
Crystal system = monoclinic

***

Entry from Alexandria via LeMat-Bulk: a geometry-optimized Tb3PrSn2 structure (PBE-GGA). Values from VASP.

Geometry as Quantum ESPRESSO input:
```
&SYSTEM
  ibrav = 0, nat = 12, ntyp = 3
/
ATOMIC_SPECIES
Tb 158.93 Tb.upf
Pr 140.91 Pr.upf
Sn 118.71 Sn.upf
CELL_PARAMETERS angstrom
9.088 -2.314 0.000
9.088 2.314 0.000
-3.897 0.000 8.763
ATOMIC_POSITIONS crystal
Tb 0.056 0.056 0.190
Tb 0.308 0.308 0.612
Tb 0.355 0.355 0.019
Tb 0.645 0.645 0.981
Tb 0.692 0.692 0.388
Tb 0.944 0.944 0.810
Pr 0.115 0.115 0.634
Pr 0.885 0.885 0.366
Sn 0.241 0.241 0.211
Sn 0.490 0.490 0.645
Sn 0.510 0.510 0.355
Sn 0.759 0.759 0.789
```

Calculated values
ΔE_f = -0.512 eV/atom
SG = C2/m
Crystal system = monoclinic

***

Entry from Alexandria via LeMat-Bulk: a geometry-optimized Tb3Pr2Sn4 structure (PBE-GGA). Values from VASP.

Geometry as Quantum ESPRESSO input:
```
&SYSTEM
  ibrav = 0, nat = 18, ntyp = 3
/
ATOMIC_SPECIES
Tb 158.93 Tb.upf
Pr 140.91 Pr.upf
Sn 118.71 Sn.upf
CELL_PARAMETERS angstrom
8.380 0.000 0.000
0.000 8.397 0.000
-2.790 0.000 7.595
ATOMIC_POSITIONS crystal
Tb 0.000 0.000 0.000
Tb 0.000 0.500 0.500
Tb 0.253 0.169 0.757
Tb 0.253 0.331 0.257
Tb 0.747 0.669 0.743
Tb 0.747 0.831 0.243
Pr 0.307 0.678 0.936
Pr 0.307 0.822 0.436
Pr 0.693 0.178 0.564
Pr 0.693 0.322 0.064
Sn 0.011 0.634 0.136
Sn 0.011 0.866 0.636
Sn 0.418 0.039 0.156
Sn 0.418 0.461 0.656
Sn 0.582 0.539 0.344
Sn 0.582 0.961 0.844
Sn 0.989 0.134 0.364
Sn 0.989 0.366 0.864
```

Calculated values
Energy relative to the lowest polymorph listed for this composition = 0.0000 eV per atom
ΔE_f = -0.796 eV/atom
SG = P2_1/c
Crystal system = monoclinic

***

Entry from Alexandria via LeMat-Bulk: a geometry-optimized Tb2Pr3Sn4 structure (PBE-GGA). Values from VASP.

Geometry as Quantum ESPRESSO input:
```
&SYSTEM
  ibrav = 0, nat = 9, ntyp = 3
/
ATOMIC_SPECIES
Tb 158.93 Tb.upf
Pr 140.91 Pr.upf
Sn 118.71 Sn.upf
CELL_PARAMETERS angstrom
5.832 -2.439 0.000
5.832 2.439 0.000
-1.097 0.000 10.047
ATOMIC_POSITIONS crystal
Tb 0.180 0.180 0.302
Tb 0.820 0.820 0.698
Pr 0.127 0.127 0.911
Pr 0.500 0.500 0.500
Pr 0.873 0.873 0.089
Sn 0.160 0.160 0.607
Sn 0.417 0.417 0.870
Sn 0.583 0.583 0.130
Sn 0.840 0.840 0.393
```

Calculated values
ΔE_f = -0.606 eV/atom
SG = C2/m
Crystal system = monoclinic

***

Entry from Alexandria via LeMat-Bulk: a geometry-optimized Tb2PrSn structure (PBE-GGA). Values from VASP.

Geometry as Quantum ESPRESSO input:
```
&SYSTEM
  ibrav = 0, nat = 4, ntyp = 3
/
ATOMIC_SPECIES
Tb 158.93 Tb.upf
Pr 140.91 Pr.upf
Sn 118.71 Sn.upf
CELL_PARAMETERS angstrom
4.898 0.000 0.000
0.000 4.898 0.000
0.000 0.000 4.856
ATOMIC_POSITIONS crystal
Tb 0.000 0.500 0.000
Tb 0.500 0.000 0.000
Pr 0.000 0.000 0.500
Sn 0.500 0.500 0.500
```

Calculated values
Energy relative to the lowest polymorph listed for this composition = 0.0000 eV per atom
ΔE_f = -0.426 eV/atom
SG = P4/mmm
Crystal system = tetragonal

***

Entry from Alexandria via LeMat-Bulk: a geometry-optimized TbPrSn2 structure (PBE-GGA). Values from VASP.

Geometry as Quantum ESPRESSO input:
```
&SYSTEM
  ibrav = 0, nat = 12, ntyp = 3
/
ATOMIC_SPECIES
Tb 158.93 Tb.upf
Pr 140.91 Pr.upf
Sn 118.71 Sn.upf
CELL_PARAMETERS angstrom
4.131 0.000 0.000
-2.065 3.577 0.000
0.000 0.000 25.474
ATOMIC_POSITIONS crystal
Tb 0.000 0.000 0.000
Tb 0.333 0.667 0.667
Tb 0.667 0.333 0.333
Pr 0.000 0.000 0.500
Pr 0.333 0.667 0.167
Pr 0.667 0.333 0.833
Sn 0.000 0.000 0.253
Sn 0.000 0.000 0.747
Sn 0.333 0.667 0.414
Sn 0.333 0.667 0.919
Sn 0.667 0.333 0.081
Sn 0.667 0.333 0.586
```

Calculated values
ΔE_f = -0.538 eV/atom
SG = R-3m
Crystal system = trigonal

***

Entry from Alexandria via LeMat-Bulk: a geometry-optimized TbPrSn2 structure (PBE-GGA). Values from VASP.

Geometry as Quantum ESPRESSO input:
```
&SYSTEM
  ibrav = 0, nat = 8, ntyp = 3
/
ATOMIC_SPECIES
Tb 158.93 Tb.upf
Pr 140.91 Pr.upf
Sn 118.71 Sn.upf
CELL_PARAMETERS angstrom
4.357 0.000 0.000
0.000 6.272 0.000
0.000 0.000 8.595
ATOMIC_POSITIONS crystal
Tb 0.000 0.127 0.000
Tb 0.000 0.873 0.500
Pr 0.500 0.372 0.365
Pr 0.500 0.628 0.865
Sn 0.000 0.404 0.641
Sn 0.000 0.596 0.141
Sn 0.500 0.096 0.725
Sn 0.500 0.904 0.225
```

Calculated values
ΔE_f = -0.747 eV/atom
SG = Pmc2_1
Crystal system = orthorhombic

***

Entry from Alexandria via LeMat-Bulk: a geometry-optimized TbPr9Sn2 structure (PBE-GGA). Values from VASP.

Geometry as Quantum ESPRESSO input:
```
&SYSTEM
  ibrav = 0, nat = 12, ntyp = 3
/
ATOMIC_SPECIES
Tb 158.93 Tb.upf
Pr 140.91 Pr.upf
Sn 118.71 Sn.upf
CELL_PARAMETERS angstrom
5.024 0.000 0.000
0.000 5.024 0.000
0.000 0.000 15.460
ATOMIC_POSITIONS crystal
Tb 0.000 0.000 0.000
Pr 0.000 0.500 0.176
Pr 0.000 0.500 0.500
Pr 0.000 0.500 0.824
Pr 0.500 0.000 0.176
Pr 0.500 0.000 0.500
Pr 0.500 0.000 0.824
Pr 0.500 0.500 0.000
Pr 0.500 0.500 0.339
Pr 0.500 0.500 0.661
Sn 0.000 0.000 0.338
Sn 0.000 0.000 0.662
```

Calculated values
ΔE_f = -0.280 eV/atom
SG = P4/mmm
Crystal system = tetragonal

***

Entry from Alexandria via LeMat-Bulk: a geometry-optimized Tb4PrSn4 structure (PBE-GGA). Values from VASP.

Geometry as Quantum ESPRESSO input:
```
&SYSTEM
  ibrav = 0, nat = 18, ntyp = 3
/
ATOMIC_SPECIES
Tb 158.93 Tb.upf
Pr 140.91 Pr.upf
Sn 118.71 Sn.upf
CELL_PARAMETERS angstrom
9.931 0.000 0.000
0.000 9.931 0.000
0.000 0.000 6.165
ATOMIC_POSITIONS crystal
Tb 0.095 0.647 0.141
Tb 0.147 0.905 0.641
Tb 0.353 0.595 0.641
Tb 0.405 0.853 0.141
Tb 0.595 0.147 0.859
Tb 0.647 0.405 0.359
Tb 0.853 0.095 0.359
Tb 0.905 0.353 0.859
Pr 0.250 0.250 0.250
Pr 0.750 0.750 0.750
Sn 0.037 0.612 0.650
Sn 0.112 0.963 0.150
Sn 0.388 0.537 0.150
Sn 0.463 0.888 0.650
Sn 0.537 0.112 0.350
Sn 0.612 0.463 0.850
Sn 0.888 0.037 0.850
Sn 0.963 0.388 0.350
```

Calculated values
ΔE_f = -0.443 eV/atom
SG = P4_2/n
Crystal system = tetragonal

***

Entry from Alexandria via LeMat-Bulk: a geometry-optimized TbPrSn2 structure (PBE-GGA). Values from VASP.

Geometry as Quantum ESPRESSO input:
```
&SYSTEM
  ibrav = 0, nat = 4, ntyp = 3
/
ATOMIC_SPECIES
Tb 158.93 Tb.upf
Pr 140.91 Pr.upf
Sn 118.71 Sn.upf
CELL_PARAMETERS angstrom
3.522 0.000 0.000
0.000 3.522 0.000
0.000 0.000 9.009
ATOMIC_POSITIONS crystal
Tb 0.000 0.000 0.000
Pr 0.000 0.000 0.500
Sn 0.500 0.500 0.241
Sn 0.500 0.500 0.759
```

Calculated values
ΔE_f = -0.658 eV/atom
SG = P4/mmm
Crystal system = tetragonal

***

Entry from Alexandria via LeMat-Bulk: a geometry-optimized Tb2PrSn structure (PBE-GGA). Values from VASP.

Geometry as Quantum ESPRESSO input:
```
&SYSTEM
  ibrav = 0, nat = 4, ntyp = 3
/
ATOMIC_SPECIES
Tb 158.93 Tb.upf
Pr 140.91 Pr.upf
Sn 118.71 Sn.upf
CELL_PARAMETERS angstrom
4.101 0.000 0.000
0.000 4.101 0.000
0.000 0.000 7.146
ATOMIC_POSITIONS crystal
Tb 0.000 0.000 0.216
Tb 0.000 0.000 0.784
Pr 0.500 0.500 0.500
Sn 0.500 0.500 0.000
```

Calculated values
Energy relative to the lowest polymorph listed for this composition = 0.1039 eV per atom
ΔE_f = -0.322 eV/atom
SG = P4/mmm
Crystal system = tetragonal

***

Entry from Alexandria via LeMat-Bulk: a geometry-optimized Tb4Pr3Sn4 structure (PBE-GGA). Values from VASP.

Geometry as Quantum ESPRESSO input:
```
&SYSTEM
  ibrav = 0, nat = 11, ntyp = 3
/
ATOMIC_SPECIES
Tb 158.93 Tb.upf
Pr 140.91 Pr.upf
Sn 118.71 Sn.upf
CELL_PARAMETERS angstrom
-2.156 4.699 8.586
2.156 -4.699 8.586
2.156 4.699 -8.586
ATOMIC_POSITIONS crystal
Tb 0.023 0.829 0.195
Tb 0.366 0.171 0.195
Tb 0.634 0.829 0.805
Tb 0.977 0.171 0.805
Pr 0.000 0.500 0.500
Pr 0.393 0.393 0.000
Pr 0.607 0.607 0.000
Sn 0.248 0.748 0.500
Sn 0.285 0.000 0.285
Sn 0.715 0.000 0.715
Sn 0.752 0.252 0.500
```

Calculated values
ΔE_f = -0.560 eV/atom
SG = Immm
Crystal system = orthorhombic